# 1
{
  "formula": "TeAsO3",
  "functional": "PBE",
  "state": "relaxed",
  "lattice_angstrom": [[3.9700, 0.0000, 0.0000], [0.0000, 3.9700, 0.0000], [0.0000, 0.0000, 3.9700]],
  "species": ["Te", "As", "O", "O", "O"],
  "frac_coords": [[0.0000, 0.0000, 0.0000], [0.5000, 0.5000, 0.5000], [0.0000, 0.5000, 0.5000], [0.5000, 0.0000, 0.5000], [0.5000, 0.5000, 0.0000]],
  "volume_a3_per_atom": 12.51,
  "crystal_system": "cubic",
  "e_tot_ev_per_atom": -4.79,
  "m_tot_mub_per_fu": 0.000
}

=====

# 2
{
  "formula": "YTaGe2O8",
  "functional": "PBE",
  "state": "relaxed",
  "lattice_angstrom": [[-3.4229, 3.4229, 3.1347], [3.4229, -3.4229, 3.1347], [3.4229, 3.4229, -3.1347]],
  "species": ["Y", "Ta", "Ge", "Ge", "O", "O", "O", "O", "O", "O", "O", "O"],
  "frac_coords": [[0.0000, 0.0000, 0.0000], [0.7500, 0.2500, 0.5000], [0.2500, 0.7500, 0.5000], [0.5000, 0.5000, 0.0000], [0.0437, 0.3687, 0.3250], [0.0437, 0.7187, 0.6750], [0.1192, 0.3179, 0.8013], [0.2813, 0.9563, 0.3250], [0.5166, 0.3179, 0.1987], [0.6313, 0.9563, 0.6750], [0.6821, 0.4834, 0.8013], [0.6821, 0.8808, 0.1987]],
  "volume_a3_per_atom": 12.24,
  "crystal_system": "tetragonal",
  "e_tot_ev_per_atom": -7.96,
  "m_tot_mub_per_fu": 0.000
}

=====

# 3
{
  "formula": "CsPrS2",
  "functional": "PBE",
  "state": "relaxed",
  "lattice_angstrom": [[4.2825, 0.0000, 0.0000], [-2.1412, 3.7087, 0.0000], [0.0000, 0.0000, 16.1969]],
  "species": ["Cs", "Cs", "Pr", "Pr", "S", "S", "S", "S"],
  "frac_coords": [[0.3333, 0.6667, 0.2500], [0.6667, 0.3333, 0.7500], [0.0000, 0.0000, 0.0000], [0.0000, 0.0000, 0.5000], [0.3333, 0.6667, 0.5940], [0.3333, 0.6667, 0.9060], [0.6667, 0.3333, 0.0940], [0.6667, 0.3333, 0.4060]],
  "volume_a3_per_atom": 32.16,
  "e_above_lowest_polymorph_mev_per_atom": 0.0,
  "crystal_system": "hexagonal",
  "m_tot_mub_per_fu": 0.000
}

=====

# 4
{
  "formula": "Sc3TlH",
  "functional": "PBE",
  "state": "relaxed",
  "lattice_angstrom": [[0.0000, 6.0177, 6.0177], [6.0177, 0.0000, 6.0177], [6.0177, 6.0177, 0.0000]],
  "species": ["Sc", "Sc", "Sc", "Sc", "Sc", "Sc", "Sc", "Sc", "Sc", "Sc", "Sc", "Sc", "Tl", "Tl", "Tl", "Tl", "H", "H", "H", "H"],
  "frac_coords": [[0.0654, 0.0654, 0.6846], [0.0654, 0.6846, 0.0654], [0.0654, 0.6846, 0.6846], [0.3154, 0.3154, 0.9346], [0.3154, 0.9346, 0.3154], [0.3154, 0.9346, 0.9346], [0.6846, 0.0654, 0.0654], [0.6846, 0.0654, 0.6846], [0.6846, 0.6846, 0.0654], [0.9346, 0.3154, 0.3154], [0.9346, 0.3154, 0.9346], [0.9346, 0.9346, 0.3154], [0.0000, 0.5000, 0.5000], [0.5000, 0.0000, 0.5000], [0.5000, 0.5000, 0.0000], [0.5000, 0.5000, 0.5000], [0.0000, 0.0000, 0.0000], [0.0000, 0.0000, 0.5000], [0.0000, 0.5000, 0.0000], [0.5000, 0.0000, 0.0000]],
  "volume_a3_per_atom": 21.79,
  "e_above_lowest_polymorph_mev_per_atom": 400.9,
  "crystal_system": "cubic",
  "m_tot_mub_per_fu": 1.262
}

=====

# 5
{
  "formula": "Sc2InRu5W2",
  "functional": "PBE",
  "state": "relaxed",
  "lattice_angstrom": [[9.8778, 0.0000, 0.0000], [0.0000, 9.8778, 0.0000], [0.0000, 0.0000, 3.6142]],
  "species": ["Sc", "Sc", "Sc", "Sc", "In", "In", "Ru", "Ru", "Ru", "Ru", "Ru", "Ru", "Ru", "Ru", "Ru", "Ru", "W", "W", "W", "W"],
  "frac_coords": [[0.1724, 0.3276, 0.0000], [0.3276, 0.8276, 0.0000], [0.6724, 0.1724, 0.0000], [0.8276, 0.6724, 0.0000], [0.0000, 0.0000, 0.0000], [0.5000, 0.5000, 0.0000], [0.0000, 0.5000, 0.5000], [0.0696, 0.7921, 0.5000], [0.2079, 0.0696, 0.5000], [0.2921, 0.5696, 0.5000], [0.4304, 0.2921, 0.5000], [0.5000, 0.0000, 0.5000], [0.5696, 0.7079, 0.5000], [0.7079, 0.4304, 0.5000], [0.7921, 0.9304, 0.5000], [0.9304, 0.2079, 0.5000], [0.1263, 0.6263, 0.0000], [0.3737, 0.1263, 0.0000], [0.6263, 0.8737, 0.0000], [0.8737, 0.3737, 0.0000]],
  "volume_a3_per_atom": 17.63,
  "crystal_system": "tetragonal",
  "m_tot_mub_per_fu": 0.000,
  "ef_kj_per_mol_atoms": 2
}

=====

# 6
{
  "formula": "MgZr4Pd5",
  "functional": "PBE",
  "state": "relaxed",
  "lattice_angstrom": [[3.3078, 0.0000, 0.0000], [0.0000, 3.3078, 0.0000], [0.0000, 0.0000, 16.8489]],
  "species": ["Mg", "Zr", "Zr", "Zr", "Zr", "Pd", "Pd", "Pd", "Pd", "Pd"],
  "frac_coords": [[0.0000, 0.0000, 0.0000], [0.0000, 0.0000, 0.1933], [0.0000, 0.0000, 0.3981], [0.0000, 0.0000, 0.6019], [0.0000, 0.0000, 0.8067], [0.5000, 0.5000, 0.0946], [0.5000, 0.5000, 0.2957], [0.5000, 0.5000, 0.5000], [0.5000, 0.5000, 0.7043], [0.5000, 0.5000, 0.9054]],
  "volume_a3_per_atom": 18.44,
  "crystal_system": "tetragonal",
  "m_tot_mub_per_fu": 0.000,
  "ef_kj_per_mol_atoms": -59
}

=====

# 7
{
  "formula": "FeSiW4",
  "functional": "PBE",
  "state": "relaxed",
  "lattice_angstrom": [[0.0000, 3.6992, 3.6992], [3.6992, 0.0000, 3.6992], [3.6992, 3.6992, 0.0000]],
  "species": ["Fe", "Si", "W", "W", "W", "W"],
  "frac_coords": [[0.0000, 0.0000, 0.0000], [0.7500, 0.7500, 0.7500], [0.3746, 0.3746, 0.3746], [0.3746, 0.3746, 0.8762], [0.3746, 0.8762, 0.3746], [0.8762, 0.3746, 0.3746]],
  "volume_a3_per_atom": 16.87,
  "crystal_system": "cubic",
  "e_tot_ev_per_atom": -10.16,
  "m_tot_mub_per_fu": 3.091
}

=====

# 8
{
  "formula": "CeMg2Pb3",
  "functional": "PBE",
  "state": "relaxed",
  "lattice_angstrom": [[2.4496, -7.3876, 0.0000], [2.4496, 7.3876, 0.0000], [0.0000, 0.0000, 4.5086]],
  "species": ["Ce", "Mg", "Mg", "Pb", "Pb", "Pb"],
  "frac_coords": [[0.0000, 0.0000, 0.0000], [0.3269, 0.6731, 0.0000], [0.6731, 0.3269, 0.0000], [0.1694, 0.8306, 0.5000], [0.5000, 0.5000, 0.5000], [0.8306, 0.1694, 0.5000]],
  "volume_a3_per_atom": 27.20,
  "e_above_lowest_polymorph_mev_per_atom": 0.0,
  "crystal_system": "orthorhombic",
  "m_tot_mub_per_fu": 0.839,
  "ef_kj_per_mol_atoms": -22
}

=====

# 9
{
  "formula": "PuCoBr2",
  "functional": "PBE",
  "state": "relaxed",
  "lattice_angstrom": [[1.8367, 1.0604, 8.8531], [-1.8367, 1.0604, 8.8531], [0.0000, -2.1208, 8.8531]],
  "species": ["Pu", "Co", "Br", "Br"],
  "frac_coords": [[0.0000, 0.0000, 0.0000], [0.5000, 0.5000, 0.5000], [0.1116, 0.1116, 0.1116], [0.8884, 0.8884, 0.8884]],
  "volume_a3_per_atom": 25.86,
  "crystal_system": "trigonal",
  "e_tot_ev_per_atom": -6.30,
  "m_tot_mub_per_fu": 8.651
}

=====

# 10
{
  "formula": "BaSb2PbAu2",
  "functional": "PBE",
  "state": "relaxed",
  "lattice_angstrom": [[4.7785, 0.0000, 0.0000], [-2.3892, 4.1383, 0.0000], [0.0000, 0.0000, 8.9313]],
  "species": ["Ba", "Sb", "Sb", "Pb", "Au", "Au"],
  "frac_coords": [[0.0000, 0.0000, 0.0000], [0.3333, 0.6667, 0.7409], [0.6667, 0.3333, 0.2591], [0.0000, 0.0000, 0.5000], [0.3333, 0.6667, 0.2774], [0.6667, 0.3333, 0.7226]],
  "volume_a3_per_atom": 29.44,
  "crystal_system": "trigonal",
  "e_tot_ev_per_atom": -3.91,
  "m_tot_mub_per_fu": 0.000
}

=====

# 11
{
  "formula": "ZrHg2GeH",
  "functional": "PBE",
  "state": "relaxed",
  "lattice_angstrom": [[5.6405, 0.0000, 0.0000], [0.0000, 5.6405, 0.0000], [0.0000, 0.0000, 3.6801]],
  "species": ["Zr", "Hg", "Hg", "Ge", "H"],
  "frac_coords": [[0.0000, 0.0000, 0.0000], [0.0000, 0.5000, 0.0000], [0.5000, 0.0000, 0.0000], [0.5000, 0.5000, 0.5000], [0.0000, 0.0000, 0.5000]],
  "volume_a3_per_atom": 23.42,
  "crystal_system": "tetragonal",
  "e_tot_ev_per_atom": -2.99,
  "m_tot_mub_per_fu": 0.000
}

=====

# 12
{
  "formula": "TlAgTe2",
  "functional": "PBE",
  "state": "relaxed",
  "lattice_angstrom": [[6.7661, -1.5954, 0.0000], [6.7661, 1.5954, 0.0000], [-1.5808, 0.0000, 6.7231]],
  "species": ["Tl", "Ag", "Te", "Te"],
  "frac_coords": [[0.0000, 0.0000, 0.0000], [0.1338, 0.1338, 0.6463], [0.4717, 0.4717, 0.4249], [0.7448, 0.7448, 0.9663]],
  "volume_a3_per_atom": 36.29,
  "crystal_system": "monoclinic",
  "e_tot_ev_per_atom": -2.92,
  "m_tot_mub_per_fu": 0.000
}